A | Here is a relaxed MgTePdO crystal from the Open Quantum Materials Database. Energies are from PBE-GGA.

## Properties
SG: P4/nmm (129)

abc: 3.8213 3.8213 9.5993
angles: 90.00 90.00 90.00
Last column: nearest neighbours and their distance in Å.
Atoms (fractional coordinates):
Mg 0.7500 0.7500 0.4583  4 O 1.95
Mg 0.2500 0.2500 0.5417  4 O 1.95
O 0.7500 0.2500 0.5000  4 Mg 1.95
O 0.2500 0.7500 0.5000  4 Mg 1.95
Pd 0.7500 0.7500 0.0921  5 Te 2.65-2.84
Pd 0.2500 0.2500 0.9079  5 Te 2.65-2.84
Te 0.2500 0.2500 0.1840  5 Pd 2.65-2.84
Te 0.7500 0.7500 0.8160  5 Pd 2.65-2.84

B | Here is a relaxed MgTePdO crystal from the Open Quantum Materials Database. Energies are from PBE-GGA.

## Properties
SG: Pca2_1 (29)

abc: 6.9050 7.9167 5.8531
angles: 90.00 90.00 90.00
Last column: nearest neighbours and their distance in Å.
Atoms (fractional coordinates):
Mg 0.9002 0.3101 0.1241  1 O 1.91
Mg 0.4002 0.6899 0.1241  1 O 1.91
Mg 0.5998 0.3101 0.6241  1 O 1.91
Mg 0.0998 0.6899 0.6241  1 O 1.91
O 0.0485 0.1059 0.1255  1 Mg 1.91, 2 Pd 2.02
O 0.5485 0.8941 0.1255  1 Mg 1.91, 2 Pd 2.02
O 0.4515 0.1059 0.6255  1 Mg 1.91, 2 Pd 2.02
O 0.9515 0.8941 0.6255  1 Mg 1.91, 2 Pd 2.02
Pd 0.2500 0.1197 0.3758  2 O 2.02
Pd 0.7500 0.8803 0.3758  2 O 2.02
Pd 0.2500 0.1197 0.8758  2 O 2.02
Pd 0.7500 0.8803 0.8758  2 O 2.02
Te 0.4897 0.3324 0.1247  2 Pd 2.77-2.78, 4 Mg 2.84-3.03
Te 0.9897 0.6676 0.1247  2 Pd 2.77-2.78, 4 Mg 2.84-3.03
Te 0.0103 0.3324 0.6247  2 Pd 2.77-2.78, 4 Mg 2.84-3.03
Te 0.5103 0.6676 0.6247  2 Pd 2.77-2.78, 4 Mg 2.84-3.03

C | Here is a relaxed MgTePdO crystal from the Open Quantum Materials Database. Energies are from PBE-GGA.

## Properties
SG: Pbca (61)

abc: 6.1924 14.4359 6.5820
angles: 90.00 90.00 90.00
Last column: nearest neighbours and their distance in Å.
Atoms (fractional coordinates):
Mg 0.4391 0.2441 0.1297  3 O 1.98-2.00
Mg 0.0609 0.7441 0.1297  3 O 1.98-2.00
Mg 0.9391 0.2441 0.3703  3 O 1.98-2.00
Mg 0.5609 0.7441 0.3703  3 O 1.98-2.00
Mg 0.4391 0.2559 0.6297  3 O 1.98-2.00
Mg 0.0609 0.7559 0.6297  3 O 1.98-2.00
Mg 0.9391 0.2559 0.8703  3 O 1.98-2.00
Mg 0.5609 0.7559 0.8703  3 O 1.98-2.00
O 0.7625 0.2437 0.1188  3 Mg 1.98-2.00
O 0.7375 0.7437 0.1188  3 Mg 1.98-2.00
O 0.2625 0.2437 0.3812  3 Mg 1.98-2.00
O 0.2375 0.7437 0.3812  3 Mg 1.98-2.00
O 0.7625 0.2563 0.6188  3 Mg 1.98-2.00
O 0.7375 0.7563 0.6188  3 Mg 1.98-2.00
O 0.2625 0.2563 0.8812  3 Mg 1.98-2.00
O 0.2375 0.7563 0.8812  3 Mg 1.98-2.00
Pd 0.7528 0.0831 0.0920  1 O 2.33
Pd 0.7472 0.5831 0.0920  1 O 2.33
Pd 0.2528 0.0831 0.4080  1 O 2.33
Pd 0.2472 0.5831 0.4080  1 O 2.33
Pd 0.7528 0.4169 0.5920  1 O 2.33
Pd 0.7472 0.9169 0.5920  1 O 2.33
Pd 0.2528 0.4169 0.9080  1 O 2.33
Pd 0.2472 0.9169 0.9080  1 O 2.33
Te 0.9995 0.4555 0.2460  4 Pd 2.62-2.80
Te 0.5005 0.9555 0.2460  4 Pd 2.62-2.80
Te 0.4995 0.4555 0.2540  4 Pd 2.62-2.80
Te 0.0005 0.9555 0.2540  4 Pd 2.62-2.80
Te 0.9995 0.0445 0.7460  4 Pd 2.62-2.80
Te 0.5005 0.5445 0.7460  4 Pd 2.62-2.80
Te 0.4995 0.0445 0.7540  4 Pd 2.62-2.80
Te 0.0005 0.5445 0.7540  4 Pd 2.62-2.80

Stability ranking, top and bottom: A is the most stable and B is the least stable.

A | Here is a relaxed MgTePdO crystal from the Open Quantum Materials Database. Energies are from PBE-GGA.

## Properties
SG: C2/m (12)

abc: 4.1744 4.1744 8.1683
angles: 90.18 90.18 88.23
Last column: nearest neighbours and their distance in Å.
Atoms (fractional coordinates):
Mg 0.7495 0.2505 0.0000  4 Pd 2.73, 4 Mg 2.90-3.00
Mg 0.2505 0.7495 0.0000  4 Pd 2.73, 4 Mg 2.90-3.00
O 0.7482 0.7482 0.4783  1 Te 1.88
O 0.2518 0.2518 0.5215  1 Te 1.87
Pd 0.7525 0.7525 0.2156  1 O 2.15
Pd 0.2475 0.2475 0.7844  1 O 2.15
Te 0.2493 0.2493 0.2923  1 O 1.87
Te 0.7507 0.7507 0.7079  1 O 1.88

B | Here is a relaxed MgTePdO crystal from the Open Quantum Materials Database. Energies are from PBE-GGA.

## Properties
SG: Cmc2_1 (36)

abc: 6.8231 6.8231 6.2713
angles: 90.00 90.00 29.66
Last column: nearest neighbours and their distance in Å.
Atoms (fractional coordinates):
Mg 0.3288 0.3288 0.0326  2 O 1.93
Mg 0.6712 0.6712 0.5326  2 O 1.93
O 0.8916 0.8916 0.0368  2 Mg 1.93, 2 Pd 2.12
O 0.1084 0.1084 0.5368  2 Mg 1.93, 2 Pd 2.12
Pd 0.0000 0.0000 0.2871  2 O 2.12
Pd 0.0000 0.0000 0.7871  2 O 2.12
Te 0.6326 0.6326 0.0361  4 Pd 2.92-2.93, 4 Mg 3.12-3.20
Te 0.3674 0.3674 0.5361  4 Pd 2.92-2.93, 4 Mg 3.12-3.20

Stability ranking, top and bottom: B is the most stable and A is the least stable.

A | Here is a relaxed MgTePdO crystal from the Open Quantum Materials Database. Energies are from PBE-GGA.

## Properties
SG: Aem2 (39)

abc: 5.6488 8.2377 5.6466
angles: 90.00 90.00 90.00
Last column: nearest neighbours and their distance in Å.
Atoms (fractional coordinates):
Mg 0.7500 0.0001 0.3735  4 O 2.02
Mg 0.2500 0.9999 0.3735  4 O 2.01-2.02
Mg 0.2500 0.9999 0.8735  4 O 2.02
Mg 0.7500 0.0001 0.8735  4 O 2.01-2.02
O 0.0000 0.0334 0.1235  4 Mg 2.02
O 0.4999 0.9667 0.1235  4 Mg 2.01-2.02
O 0.5001 0.0333 0.6235  4 Mg 2.01-2.02
O 0.0000 0.9666 0.6235  4 Mg 2.02
Pd 0.9993 0.3198 0.1265  1 O 2.36, 1 Te 2.64
Pd 0.4993 0.6802 0.1265  1 O 2.36, 1 Te 2.64
Pd 0.0007 0.6802 0.6265  1 O 2.36, 1 Te 2.64
Pd 0.5007 0.3198 0.6265  1 O 2.36, 1 Te 2.64
Te 0.4994 0.3595 0.1265  5 Pd 2.64-2.84
Te 0.9994 0.6405 0.1265  5 Pd 2.64-2.84
Te 0.0006 0.3595 0.6265  5 Pd 2.64-2.84
Te 0.5006 0.6405 0.6265  5 Pd 2.64-2.84

B | Here is a relaxed MgTePdO crystal from the Open Quantum Materials Database. Energies are from PBE-GGA.

## Properties
SG: Pbcm (57)

abc: 6.3328 8.6620 10.9329
angles: 90.00 90.00 90.00
Last column: nearest neighbours and their distance in Å.
Atoms (fractional coordinates):
Mg 0.4978 0.2499 0.1507  2 O 1.92
Mg 0.0022 0.7499 0.1507  2 O 1.92
Mg 0.9978 0.2499 0.3493  2 O 1.92
Mg 0.5022 0.7499 0.3493  2 O 1.92
Mg 0.4978 0.2501 0.6507  2 O 1.92
Mg 0.0022 0.7501 0.6507  2 O 1.92
Mg 0.9978 0.2501 0.8493  2 O 1.92
Mg 0.5022 0.7501 0.8493  2 O 1.92
O 0.2478 0.2499 0.2499  2 Mg 1.92
O 0.2522 0.7499 0.2499  2 Mg 1.92
O 0.7478 0.2499 0.2501  2 Mg 1.92
O 0.7522 0.7499 0.2501  2 Mg 1.92
O 0.2478 0.2501 0.7499  2 Mg 1.92
O 0.2522 0.7501 0.7499  2 Mg 1.92
O 0.7478 0.2501 0.7501  2 Mg 1.92
O 0.7522 0.7501 0.7501  2 Mg 1.92
Pd 0.7499 0.4998 0.2496  2 O 2.17
Pd 0.7501 0.9998 0.2496  2 O 2.17
Pd 0.2499 0.4998 0.2504  2 O 2.17
Pd 0.2501 0.9998 0.2504  2 O 2.17
Pd 0.7499 0.0002 0.7496  2 O 2.17
Pd 0.7501 0.5002 0.7496  2 O 2.17
Pd 0.2499 0.0002 0.7504  2 O 2.17
Pd 0.2501 0.5002 0.7504  2 O 2.17
Te 0.2500 0.0000 0.0004  2 Pd 2.73
Te 0.2500 0.4999 0.0004  2 Pd 2.73
Te 0.7500 0.0000 0.4996  2 Pd 2.73
Te 0.7500 0.4999 0.4996  2 Pd 2.73
Te 0.2500 0.0000 0.5004  2 Pd 2.73
Te 0.2500 0.5001 0.5004  2 Pd 2.73
Te 0.7500 0.0000 0.9996  2 Pd 2.73
Te 0.7500 0.5001 0.9996  2 Pd 2.73

Stability ranking, top and bottom: A is the most stable and B is the least stable.

A | Here is a relaxed MgTePdO crystal from the Open Quantum Materials Database. Energies are from PBE-GGA.

## Properties
SG: P4/nmm (129)

abc: 4.5811 4.5811 7.1087
angles: 90.00 90.00 90.00
Last column: nearest neighbours and their distance in Å.
Atoms (fractional coordinates):
Mg 0.7500 0.7500 0.2316  1 O 1.84
Mg 0.2500 0.2500 0.7684  1 O 1.84
O 0.7500 0.7500 0.4911  1 Mg 1.84, 1 Te 1.92
O 0.2500 0.2500 0.5089  1 Mg 1.84, 1 Te 1.92
Pd 0.7500 0.2500 0.0000  4 Mg 2.82, 4 Te 2.85
Pd 0.2500 0.7500 0.0000  4 Mg 2.82, 4 Te 2.85
Te 0.2500 0.2500 0.2394  1 O 1.92
Te 0.7500 0.7500 0.7606  1 O 1.92

B | Here is a relaxed MgTePdO crystal from the Open Quantum Materials Database. Energies are from PBE-GGA.

## Properties
SG: P4/nmm (129)

abc: 4.1651 4.1651 9.2773
angles: 90.00 90.00 90.00
Last column: nearest neighbours and their distance in Å.
Atoms (fractional coordinates):
Mg 0.7500 0.7500 0.1186  1 O 1.85
Mg 0.2500 0.2500 0.8814  1 O 1.85
O 0.2500 0.2500 0.0811  1 Mg 1.85, 1 Pd 2.06
O 0.7500 0.7500 0.9189  1 Mg 1.85, 1 Pd 2.06
Pd 0.2500 0.2500 0.3030  1 O 2.06
Pd 0.7500 0.7500 0.6970  1 O 2.06
Te 0.7500 0.2500 0.5000  4 Pd 2.77, 4 Te 2.95
Te 0.2500 0.7500 0.5000  4 Pd 2.77, 4 Te 2.95

C | Here is a relaxed MgTePdO crystal from the Open Quantum Materials Database. Energies are from PBE-GGA.

## Properties
SG: P4/nmm (129)

abc: 4.1939 4.1939 8.8114
angles: 90.00 90.00 90.00
Last column: nearest neighbours and their distance in Å.
Atoms (fractional coordinates):
Mg 0.7500 0.7500 0.1973  1 Pd 2.95, 5 Te 3.00-3.04
Mg 0.2500 0.2500 0.8027  1 Pd 2.95, 5 Te 3.00-3.04
O 0.7500 0.2500 0.5000  4 Pd 2.12
O 0.2500 0.7500 0.5000  4 Pd 2.12
Pd 0.2500 0.2500 0.4678  4 O 2.12
Pd 0.7500 0.7500 0.5322  4 O 2.12
Te 0.2500 0.2500 0.1482  1 Pd 2.82, 5 Mg 3.00-3.04
Te 0.7500 0.7500 0.8518  1 Pd 2.82, 5 Mg 3.00-3.04

Stability ranking, top and bottom: A is the most stable and C is the least stable.

A | Here is a relaxed MgTePdO crystal from the Open Quantum Materials Database. Energies are from PBE-GGA.

## Properties
SG: P2_12_12_1 (19)

abc: 6.4586 6.5131 7.2404
angles: 90.00 90.00 90.00
Last column: nearest neighbours and their distance in Å.
Atoms (fractional coordinates):
Mg 0.3449 0.5279 0.0596  2 O 1.93-1.96
Mg 0.6551 0.0279 0.4404  2 O 1.93-1.96
Mg 0.1551 0.4721 0.5596  2 O 1.93-1.96
Mg 0.8449 0.9721 0.9404  2 O 1.93-1.96
O 0.7949 0.9929 0.2068  2 Mg 1.93-1.96, 2 Pd 2.12
O 0.2051 0.4930 0.2932  2 Mg 1.93-1.96, 2 Pd 2.12
O 0.7051 0.0070 0.7068  2 Mg 1.93-1.96, 2 Pd 2.12
O 0.2949 0.5071 0.7932  2 Mg 1.93-1.96, 2 Pd 2.12
Pd 0.0054 0.2408 0.2406  2 O 2.12
Pd 0.9946 0.7408 0.2594  2 O 2.12
Pd 0.4946 0.7592 0.7406  2 O 2.12
Pd 0.5054 0.2592 0.7594  2 O 2.12
Te 0.2857 0.9966 0.0020  3 Pd 2.79-2.97, 2 Mg 2.89-3.11
Te 0.7143 0.4966 0.4980  3 Pd 2.79-2.97, 2 Mg 2.89-3.11
Te 0.2142 0.0034 0.5020  3 Pd 2.79-2.97, 2 Mg 2.89-3.11
Te 0.7857 0.5034 0.9980  3 Pd 2.79-2.97, 2 Mg 2.89-3.11

B | Here is a relaxed MgTePdO crystal from the Open Quantum Materials Database. Energies are from PBE-GGA.

## Properties
SG: Cmc2_1 (36)

abc: 6.7494 6.7494 6.1511
angles: 90.00 90.00 31.90
Last column: nearest neighbours and their distance in Å.
Atoms (fractional coordinates):
Mg 0.4514 0.4514 0.3163  2 O 1.88
Mg 0.5486 0.5486 0.8163  2 O 1.88
O 0.4371 0.4371 0.0114  2 Mg 1.88
O 0.5629 0.5629 0.5114  2 Mg 1.88
Pd 0.8311 0.8311 0.0087  2 O 2.31
Pd 0.1689 0.1689 0.5087  2 O 2.31
Te 0.1876 0.1876 0.0562  3 Pd 2.64-2.79
Te 0.8124 0.8124 0.5562  3 Pd 2.64-2.79

Stability ranking, top and bottom: A is the most stable and B is the least stable.

A | Here is a relaxed Mg3ReO6 crystal from the Open Quantum Materials Database. Energies are from PBE-GGA.

## Properties
Spin magnetization: 1.995 Bohr magnetons per cell
SG: P2_1/c (14)

abc: 5.1160 5.2709 9.0844
angles: 90.00 124.09 90.00
Last column: nearest neighbours and their distance in Å.
Atoms (fractional coordinates):
Mg 0.5000 0.5000 0.0000  6 O 2.00-2.10
Mg 0.7370 0.9493 0.2379  4 O 2.03-2.08
Mg 0.2630 0.4493 0.2621  4 O 2.03-2.08
Mg 0.5000 0.0000 0.5000  6 O 2.00-2.10
Mg 0.7370 0.5507 0.7379  4 O 2.03-2.08
Mg 0.2630 0.0507 0.7621  4 O 2.03-2.08
O 0.3754 0.1740 0.0562  1 Re 1.92, 2 Mg 2.00-2.03
O 0.2432 0.6926 0.0796  1 Re 1.92, 2 Mg 2.05-2.08
O 0.1137 0.0758 0.2404  1 Re 1.96, 3 Mg 2.03-2.10
O 0.8863 0.5758 0.2596  1 Re 1.96, 3 Mg 2.03-2.10
O 0.7568 0.1926 0.4204  1 Re 1.92, 2 Mg 2.05-2.08
O 0.6246 0.6741 0.4438  1 Re 1.92, 2 Mg 2.00-2.03
O 0.3754 0.3260 0.5562  1 Re 1.92, 2 Mg 2.00-2.03
O 0.2432 0.8074 0.5796  1 Re 1.92, 2 Mg 2.05-2.08
O 0.1137 0.4242 0.7404  1 Re 1.96, 3 Mg 2.03-2.10
O 0.8863 0.9242 0.7596  1 Re 1.96, 3 Mg 2.03-2.10
O 0.7568 0.3074 0.9204  1 Re 1.92, 2 Mg 2.05-2.08
O 0.6246 0.8259 0.9438  1 Re 1.92, 2 Mg 2.00-2.03
Re 0.0000 0.0000 0.0000  6 O 1.92-1.96
Re 0.0000 0.5000 0.5000  6 O 1.92-1.96

B | Here is a relaxed Mg3ReO6 crystal from the Open Quantum Materials Database. Energies are from PBE-GGA.

## Properties
Spin magnetization: 1.999 Bohr magnetons per cell
SG: R-3 (148)

abc: 5.9968 5.9968 5.9968
angles: 91.35 91.35 91.35
Last column: nearest neighbours and their distance in Å.
Atoms (fractional coordinates):
Mg 0.2526 0.5615 0.0677  6 O 2.01-2.20
Mg 0.5615 0.0677 0.2526  6 O 2.01-2.20
Mg 0.9323 0.7474 0.4385  6 O 2.01-2.20
Mg 0.0677 0.2526 0.5615  6 O 2.01-2.20
Mg 0.4385 0.9323 0.7474  6 O 2.01-2.20
Mg 0.7474 0.4385 0.9323  6 O 2.01-2.20
O 0.9193 0.6983 0.0730  1 Re 1.93, 1 Mg 2.01
O 0.3017 0.9270 0.0807  1 Re 1.93, 1 Mg 2.01
O 0.5499 0.4045 0.1959  1 Re 1.93, 2 Mg 2.01-2.06
O 0.9270 0.0807 0.3017  1 Re 1.93, 1 Mg 2.01
O 0.1959 0.5499 0.4045  1 Re 1.93, 2 Mg 2.01-2.06
O 0.5955 0.8041 0.4501  1 Re 1.93, 2 Mg 2.01-2.06
O 0.4045 0.1959 0.5499  1 Re 1.93, 2 Mg 2.01-2.06
O 0.8041 0.4501 0.5955  1 Re 1.93, 2 Mg 2.01-2.06
O 0.0730 0.9193 0.6983  1 Re 1.93, 1 Mg 2.01
O 0.4501 0.5955 0.8041  1 Re 1.93, 2 Mg 2.01-2.06
O 0.6983 0.0730 0.9193  1 Re 1.93, 1 Mg 2.01
O 0.0807 0.3017 0.9270  1 Re 1.93, 1 Mg 2.01
Re 0.0000 0.0000 0.0000  6 O 1.93
Re 0.5000 0.5000 0.5000  6 O 1.93

Stability ranking, top and bottom: B is the most stable and A is the least stable.

A | Here is a relaxed MgZnSeO crystal from the Open Quantum Materials Database. Energies are from PBE-GGA.

## Properties
SG: Pbca (61)

abc: 6.6774 12.5621 6.5076
angles: 90.00 90.00 90.00
Last column: nearest neighbours and their distance in Å.
Atoms (fractional coordinates):
Mg 0.0647 0.2572 0.1302  3 O 2.04-2.21
Mg 0.4353 0.7572 0.1302  3 O 2.04-2.21
Mg 0.5647 0.2572 0.3698  3 O 2.04-2.21
Mg 0.9353 0.7572 0.3698  3 O 2.04-2.21
Mg 0.0647 0.2428 0.6302  3 O 2.04-2.21
Mg 0.4353 0.7428 0.6302  3 O 2.04-2.21
Mg 0.5647 0.2428 0.8698  3 O 2.04-2.21
Mg 0.9353 0.7428 0.8698  3 O 2.04-2.21
O 0.7413 0.2185 0.1252  1 Zn 2.00, 3 Mg 2.04-2.21
O 0.7587 0.7185 0.1252  1 Zn 2.00, 3 Mg 2.04-2.21
O 0.2413 0.2185 0.3748  1 Zn 2.00, 3 Mg 2.04-2.21
O 0.2587 0.7185 0.3748  1 Zn 2.00, 3 Mg 2.04-2.21
O 0.7413 0.2815 0.6252  1 Zn 2.00, 3 Mg 2.04-2.21
O 0.7587 0.7815 0.6252  1 Zn 2.00, 3 Mg 2.04-2.21
O 0.2413 0.2815 0.8748  1 Zn 2.00, 3 Mg 2.04-2.21
O 0.2587 0.7815 0.8748  1 Zn 2.00, 3 Mg 2.04-2.21
Se 0.9558 0.4509 0.2469  3 Zn 2.40-2.49, 1 Mg 2.65
Se 0.5442 0.9509 0.2469  3 Zn 2.40-2.49, 1 Mg 2.65
Se 0.4558 0.4509 0.2531  3 Zn 2.40-2.49, 1 Mg 2.65
Se 0.0442 0.9509 0.2531  3 Zn 2.40-2.49, 1 Mg 2.65
Se 0.9558 0.0491 0.7469  3 Zn 2.40-2.49, 1 Mg 2.65
Se 0.5442 0.5491 0.7469  3 Zn 2.40-2.49, 1 Mg 2.65
Se 0.4558 0.0491 0.7531  3 Zn 2.40-2.49, 1 Mg 2.65
Se 0.0442 0.5491 0.7531  3 Zn 2.40-2.49, 1 Mg 2.65
Zn 0.7861 0.0625 0.0811  1 O 2.00
Zn 0.7139 0.5625 0.0811  1 O 2.00
Zn 0.2861 0.0625 0.4189  1 O 2.00
Zn 0.2139 0.5625 0.4189  1 O 2.00
Zn 0.7861 0.4375 0.5811  1 O 2.00
Zn 0.7139 0.9375 0.5811  1 O 2.00
Zn 0.2861 0.4375 0.9189  1 O 2.00
Zn 0.2139 0.9375 0.9189  1 O 2.00

B | Here is a relaxed MgZnSeO crystal from the Open Quantum Materials Database. Energies are from PBE-GGA.

## Properties
SG: P4/nmm (129)

abc: 3.7665 3.7665 11.3490
angles: 90.00 90.00 90.00
Last column: nearest neighbours and their distance in Å.
Atoms (fractional coordinates):
Mg 0.7500 0.2500 0.0000  4 Se 2.52, 4 Mg 2.66
Mg 0.2500 0.7500 0.0000  4 Se 2.52, 4 Mg 2.66
O 0.2500 0.2500 0.4094  1 Zn 1.88
O 0.7500 0.7500 0.5906  1 Zn 1.88
Se 0.2500 0.2500 0.1476  4 Mg 2.52
Se 0.7500 0.7500 0.8524  4 Mg 2.52
Zn 0.7500 0.7500 0.4246  1 O 1.88
Zn 0.2500 0.2500 0.5754  1 O 1.88

Stability ranking, top and bottom: A is the most stable and B is the least stable.